1.
Material: Nd3Tm8
Method: DFT, GGA-PBE
State: optimized geometry

Cell lengths 7.175, 7.175, 7.175 Å; angles 91.77, 91.77, 91.77 degrees
Sites, in units of the cell vectors:
Nd  0.000  0.500  0.500
Nd  0.500  0.000  0.500
Nd  0.500  0.500  0.000
Tm  0.076  0.695  0.895
Tm  0.105  0.924  0.305
Tm  0.305  0.105  0.924
Tm  0.347  0.347  0.347
Tm  0.653  0.653  0.653
Tm  0.695  0.895  0.076
Tm  0.895  0.076  0.695
Tm  0.924  0.305  0.105

Output
* Fermi-level density of states: 1.8886 states/eV per atom
* total magnetic moment: 0.0 μB/cell
* DFT formation energy: 583 meV/atom
* polymorph energy (0 for the lowest one): 0.4681 eV per atom
* space-group type: R-3 (148)

2.
Material: Nd8Tm
Method: DFT, GGA-PBE
State: optimized geometry

Cell lengths 8.185, 8.185, 8.185 Å; angles 95.73, 95.73, 143.15 degrees
Sites, in units of the cell vectors:
Nd  0.000  0.332  0.332
Nd  0.000  0.668  0.668
Nd  0.332  0.000  0.332
Nd  0.335  0.335  0.669
Nd  0.335  0.665  0.000
Nd  0.665  0.335  0.000
Nd  0.665  0.665  0.331
Nd  0.668  0.000  0.668
Tm  0.000  0.000  0.000

Output
* Fermi-level density of states: 1.5540 states/eV per atom
* total magnetic moment: 0.0 μB/cell
* DFT formation energy: 15 meV/atom
* space-group type: I4/mmm (139)

Q: DFT formation energy of number 2 (Nd8Tm)?
A: 15 meV/atom